Ba2NaH at its PBEsol-relaxed geometry, computed with SCAN.

a = 8.265 Å, b = 8.265 Å, c = 8.984 Å
α = 90.00°, β = 90.00°, γ = 90.00°
Space group I-42d (No. 122)
Asymmetric unit:
Ba 0.129 0.250 0.125
Na 0.000 0.000 0.500
H 0.000 0.000 0.000

Results
Raw total energy (hartree per atom): -0.8026
Calculated volume (Å³ per cell): 613.6